1.
## KPmNbO5 (PBE-GGA)

Data for a relaxed KPmNbO5 crystal.

Cell lengths 6.3992, 6.3992, 8.7660 Å; angles 102.34, 102.34, 107.74 degrees
Last column: nearest neighbours and their distance in Å.
Fractional coordinates of all 16 atoms:
O: 0.6969 0.1069 0.3739  1 Nb 1.87
O: 0.2328 0.3885 0.6129  1 Nb 1.89
O: 0.1069 0.6969 0.8739  1 Nb 1.87
O: 0.3885 0.2328 0.1129  1 Nb 1.89
O: 0.7672 0.6115 0.3871  1 Nb 1.89
O: 0.3031 0.8931 0.6261  1 Nb 1.87
O: 0.8931 0.3031 0.1261  1 Nb 1.87
O: 0.6115 0.7672 0.8871  1 Nb 1.89
O: 0.0809 0.9191 0.2500  2 Pm 2.35
O: 0.9191 0.0809 0.7500  2 Pm 2.35
K: 0.3369 0.6631 0.2500  5 O 2.65-2.91
K: 0.6631 0.3369 0.7500  5 O 2.65-2.91
Pm: 0.0000 0.0000 0.0000  6 O 2.33-2.38
Pm: 0.0000 0.0000 0.5000  6 O 2.33-2.38
Nb: 0.3108 0.6892 0.7500  4 O 1.87-1.89
Nb: 0.6892 0.3108 0.2500  4 O 1.87-1.89

Calculated values
uncorrected formation energy	-236.2	kJ per mole of atoms
E_tot	-7.5370	eV/atom

2.
## Sr3Sn5Au6 (PBE-GGA)

Data for a relaxed Sr3Sn5Au6 crystal.

Cell lengths 4.7198, 10.5211, 14.0316 Å; angles 90.00, 90.00, 90.00 degrees
Last column: nearest neighbours and their distance in Å.
Fractional coordinates of all 28 atoms:
Sn: 0.5000 0.4756 0.6303  5 Au 2.88-2.99
Sn: 0.0000 0.5244 0.1303  5 Au 2.88-2.99
Sn: 0.5000 0.4756 0.3697  5 Au 2.88-2.99
Sn: 0.0000 0.8857 0.3295  5 Au 2.77-2.89
Sn: 0.5000 0.1143 0.8295  5 Au 2.77-2.89
Sn: 0.5000 0.1143 0.1705  5 Au 2.77-2.89
Sn: 0.0000 0.5244 0.8697  5 Au 2.88-2.99
Sn: 0.0000 0.8857 0.6705  5 Au 2.77-2.89
Sn: 0.0000 0.7861 0.0000  4 Au 2.86-2.99
Sn: 0.5000 0.2139 0.5000  4 Au 2.86-2.99
Au: 0.5000 0.5169 0.0000  2 Au 2.86, 4 Sn 2.99
Au: 0.5000 0.0184 0.3587  4 Sn 2.77-2.86, 2 Au 3.09
Au: 0.0000 0.9816 0.8587  4 Sn 2.77-2.86, 2 Au 3.09
Au: 0.0000 0.4831 0.5000  2 Au 2.86, 4 Sn 2.99
Au: 0.0000 0.6211 0.3247  4 Sn 2.78-2.91, 1 Au 2.86
Au: 0.0000 0.0390 0.5000  4 Sn 2.89-2.99, 4 Au 3.09
Au: 0.0000 0.6211 0.6753  4 Sn 2.78-2.91, 1 Au 2.86
Au: 0.5000 0.3789 0.1753  4 Sn 2.78-2.91, 1 Au 2.86
Au: 0.5000 0.3789 0.8247  4 Sn 2.78-2.91, 1 Au 2.86
Au: 0.0000 0.9816 0.1413  4 Sn 2.77-2.86, 2 Au 3.09
Au: 0.5000 0.9610 0.0000  4 Sn 2.89-2.99, 4 Au 3.09
Au: 0.5000 0.0184 0.6413  4 Sn 2.77-2.86, 2 Au 3.09
Sr: 0.0000 0.2491 0.6853  7 Au 3.36-3.72, 6 Sn 3.42-3.53
Sr: 0.5000 0.7509 0.1853  7 Au 3.36-3.72, 6 Sn 3.42-3.53
Sr: 0.0000 0.2491 0.3147  7 Au 3.36-3.72, 6 Sn 3.42-3.53
Sr: 0.5000 0.7509 0.8147  7 Au 3.36-3.72, 6 Sn 3.42-3.53
Sr: 0.0000 0.2411 0.0000  10 Au 3.37-3.78, 6 Sn 3.50-3.61
Sr: 0.5000 0.7589 0.5000  10 Au 3.37-3.78, 6 Sn 3.50-3.61

Calculated values
ΔH_f (0 K)	-561	meV/atom
E_tot	-3.7552	eV/atom

3.
## Y3Tm12Cd5 (PBE-GGA)

Data for a relaxed Y3Tm12Cd5 crystal.

Cell lengths 15.6440, 15.6440, 15.6440 Å; angles 109.47, 109.47, 109.47 degrees
Last column: nearest neighbours and their distance in Å.
Fractional coordinates of all 80 atoms:
Tm: 0.5743 0.6319 0.4120  2 Cd 2.98-3.02, 1 Y 3.24
Tm: 0.9120 0.8378 0.7801  2 Cd 2.98-3.02, 1 Y 3.24
Tm: 0.6622 0.2199 0.5880  2 Cd 2.98-3.02, 1 Y 3.24
Tm: 0.4120 0.2801 0.3378  2 Cd 2.98-3.02, 1 Y 3.24
Tm: 0.8681 0.2801 0.4424  2 Cd 2.98-3.02, 1 Y 3.24
Tm: 0.3681 0.4257 0.0880  2 Cd 2.98-3.02, 1 Y 3.24
Tm: 0.4120 0.1319 0.5743  2 Cd 2.98-3.02, 1 Y 3.24
Tm: 0.4257 0.0576 0.3378  2 Cd 2.98-3.02, 1 Y 3.24
Tm: 0.0576 0.4257 0.8378  2 Cd 2.98-3.02, 1 Y 3.24
Tm: 0.2801 0.4120 0.8378  2 Cd 2.98-3.02, 1 Y 3.24
Tm: 0.6622 0.4424 0.5743  2 Cd 2.98-3.02, 1 Y 3.24
Tm: 0.9424 0.3681 0.2801  2 Cd 2.98-3.02, 1 Y 3.24
Tm: 0.3378 0.5576 0.4257  2 Cd 2.98-3.02, 1 Y 3.24
Tm: 0.2199 0.6622 0.0880  2 Cd 2.98-3.02, 1 Y 3.24
Tm: 0.4424 0.7801 0.8681  2 Cd 2.98-3.02, 1 Y 3.24
Tm: 0.0743 0.9120 0.1319  2 Cd 2.98-3.02, 1 Y 3.24
Tm: 0.5880 0.7199 0.6622  2 Cd 2.98-3.02, 1 Y 3.24
Tm: 0.0576 0.6319 0.7199  2 Cd 2.98-3.02, 1 Y 3.24
Tm: 0.7801 0.4424 0.3681  2 Cd 2.98-3.02, 1 Y 3.24
Tm: 0.2199 0.5576 0.6319  2 Cd 2.98-3.02, 1 Y 3.24
Tm: 0.3378 0.7801 0.4120  2 Cd 2.98-3.02, 1 Y 3.24
Tm: 0.9257 0.8378 0.5576  2 Cd 2.98-3.02, 1 Y 3.24
Tm: 0.0880 0.1622 0.2199  2 Cd 2.98-3.02, 1 Y 3.24
Tm: 0.6319 0.0576 0.2199  2 Cd 2.98-3.02, 1 Y 3.24
Tm: 0.8378 0.9257 0.0576  2 Cd 2.98-3.02, 1 Y 3.24
Tm: 0.9424 0.5743 0.1622  2 Cd 2.98-3.02, 1 Y 3.24
Tm: 0.9120 0.0743 0.6319  2 Cd 2.98-3.02, 1 Y 3.24
Tm: 0.5576 0.2199 0.1319  2 Cd 2.98-3.02, 1 Y 3.24
Tm: 0.1319 0.7199 0.5576  2 Cd 2.98-3.02, 1 Y 3.24
Tm: 0.3681 0.9424 0.7801  2 Cd 2.98-3.02, 1 Y 3.24
Tm: 0.0743 0.1622 0.4424  2 Cd 2.98-3.02, 1 Y 3.24
Tm: 0.0880 0.9257 0.3681  2 Cd 2.98-3.02, 1 Y 3.24
Tm: 0.7801 0.3378 0.9120  2 Cd 2.98-3.02, 1 Y 3.24
Tm: 0.4257 0.3681 0.5880  2 Cd 2.98-3.02, 1 Y 3.24
Tm: 0.8681 0.5880 0.9257  2 Cd 2.98-3.02, 1 Y 3.24
Tm: 0.7199 0.1319 0.0576  2 Cd 2.98-3.02, 1 Y 3.24
Tm: 0.2801 0.8681 0.9424  2 Cd 2.98-3.02, 1 Y 3.24
Tm: 0.5880 0.8681 0.4257  2 Cd 2.98-3.02, 1 Y 3.24
Tm: 0.5743 0.9424 0.6622  2 Cd 2.98-3.02, 1 Y 3.24
Tm: 0.1622 0.0880 0.7199  2 Cd 2.98-3.02, 1 Y 3.24
Tm: 0.4424 0.6622 0.0743  2 Cd 2.98-3.02, 1 Y 3.24
Tm: 0.8378 0.9120 0.2801  2 Cd 2.98-3.02, 1 Y 3.24
Tm: 0.9257 0.0880 0.8681  2 Cd 2.98-3.02, 1 Y 3.24
Tm: 0.1319 0.4120 0.0743  2 Cd 2.98-3.02, 1 Y 3.24
Tm: 0.6319 0.5743 0.9120  2 Cd 2.98-3.02, 1 Y 3.24
Tm: 0.5576 0.3378 0.9257  2 Cd 2.98-3.02, 1 Y 3.24
Tm: 0.7199 0.5880 0.1622  2 Cd 2.98-3.02, 1 Y 3.24
Tm: 0.1622 0.0743 0.9424  2 Cd 2.98-3.02, 1 Y 3.24
Cd: 0.5000 0.5000 0.5000  6 Tm 2.98
Cd: 0.6250 0.8750 0.2500  4 Tm 3.02
Cd: 0.3750 0.2500 0.1250  4 Tm 3.02
Cd: 0.5000 0.5000 0.0000  6 Tm 2.98
Cd: 0.0000 0.5000 0.5000  6 Tm 2.98
Cd: 0.7500 0.1250 0.8750  4 Tm 3.02
Cd: 0.0000 0.5000 0.0000  6 Tm 2.98
Cd: 0.3750 0.1250 0.7500  4 Tm 3.02
Cd: 0.1250 0.3750 0.2500  4 Tm 3.02
Cd: 0.1250 0.7500 0.3750  4 Tm 3.02
Cd: 0.8750 0.6250 0.7500  4 Tm 3.02
Cd: 0.8750 0.2500 0.6250  4 Tm 3.02
Cd: 0.0000 0.0000 0.5000  6 Tm 2.98
Cd: 0.7500 0.6250 0.3750  4 Tm 3.02
Cd: 0.0000 0.0000 0.0000  6 Tm 2.98
Cd: 0.5000 0.0000 0.5000  6 Tm 2.98
Cd: 0.5000 0.0000 0.0000  6 Tm 2.98
Cd: 0.6250 0.7500 0.8750  4 Tm 3.02
Cd: 0.2500 0.8750 0.1250  4 Tm 3.02
Cd: 0.2500 0.3750 0.6250  4 Tm 3.02
Y: 0.2500 0.1250 0.3750  8 Tm 3.24-3.41
Y: 0.8750 0.7500 0.1250  8 Tm 3.24-3.41
Y: 0.3750 0.6250 0.2500  8 Tm 3.24-3.41
Y: 0.6250 0.3750 0.7500  8 Tm 3.24-3.41
Y: 0.3750 0.7500 0.6250  8 Tm 3.24-3.41
Y: 0.7500 0.3750 0.1250  8 Tm 3.24-3.41
Y: 0.2500 0.6250 0.8750  8 Tm 3.24-3.41
Y: 0.6250 0.2500 0.3750  8 Tm 3.24-3.41
Y: 0.1250 0.2500 0.8750  8 Tm 3.24-3.41
Y: 0.1250 0.8750 0.7500  8 Tm 3.24-3.41
Y: 0.8750 0.1250 0.2500  8 Tm 3.24-3.41
Y: 0.7500 0.8750 0.6250  8 Tm 3.24-3.41

Calculated values
ΔH_f (0 K)	585	meV/atom
E_tot	-3.2964	eV/atom

4.
## PmPRh3 (PBE-GGA)

Data for a relaxed PmPRh3 crystal.

Cell lengths 4.0701, 4.0700, 5.9166 Å; angles 69.95, 69.96, 90.00 degrees
Last column: nearest neighbours and their distance in Å.
Fractional coordinates of all 5 atoms:
Pm: 0.3895 0.1930 0.9258  12 Rh 2.98-3.32, 4 P 3.21-3.23
Rh: 0.6368 0.9402 0.4321  2 P 2.32
Rh: 0.8147 0.6182 0.0748  1 P 2.22
Rh: 0.1367 0.4403 0.4321  2 P 2.32
P: 0.0300 0.8335 0.6465  5 Rh 2.22-2.32

Calculated values
ΔH_f (0 K)	-889	meV/atom
E_tot	-7.3316	eV/atom

| no. | M_tot (μB per formula unit) | D(E_F) (states/eV/cell) | calculated volume (Å³/cell) |
| --- | --- | --- | --- |
| 1 | 1.0 | 0.30 | 318.6 |
| 2 | 0.0 | 8.44 | 696.8 |
| 3 | 0.0 | 112.86 | 2947.3 |
| 4 | 0.0 | 3.54 | 85.7 |